Entry 1:
# Hf2OsRu

Crystalline Hf2OsRu at its relaxed geometry (PBE-GGA, the Alexandria database).

Computed properties:
SG: I-42d (122)
energy: -9.993 eV/atom
ΔH_f (0 K): 0.4 eV per formula unit
M_tot: 0.0 μB per cell

Cell lengths 5.8143, 5.8143, 5.8143 Å; angles 104.82, 104.82, 119.25 degrees
Closest atoms and distances in Å follow each position.
Element x y z (fractional)
Hf 0.1212 0.6250 0.9962  2 Ru 2.60, 2 Os 2.63
Hf 0.3750 0.3712 0.4962  2 Ru 2.60, 2 Os 2.63
Hf 0.6288 0.1250 0.0038  2 Ru 2.60, 2 Os 2.63
Hf 0.8750 0.8788 0.5038  2 Ru 2.60, 2 Os 2.63
Os 0.2500 0.7500 0.5000  4 Hf 2.63, 2 Ru 2.94
Os 0.5000 0.5000 0.0000  4 Hf 2.63, 2 Ru 2.94
Ru 0.0000 0.0000 0.0000  4 Hf 2.60
Ru 0.7500 0.2500 0.5000  4 Hf 2.60


Entry 2:
# Hf3OsRu2

Crystalline Hf3OsRu2 at its relaxed geometry (PBE-GGA, the Alexandria database).

Computed properties:
SG: P4/mmm (123)
energy: -10.720 eV/atom
ΔH_f (0 K): -4.7 eV per formula unit
M_tot: 0.0 μB per cell

Cell lengths 3.2398, 3.2398, 9.7762 Å; angles 90.00, 90.00, 90.00 degrees
Closest atoms and distances in Å follow each position.
Element x y z (fractional)
Hf 0.0000 0.0000 0.0000  8 Ru 2.81
Hf 0.0000 0.0000 0.3326  4 Ru 2.81, 4 Os 2.82
Hf 0.0000 0.0000 0.6674  4 Ru 2.81, 4 Os 2.82
Os 0.5000 0.5000 0.5000  8 Hf 2.82
Ru 0.5000 0.5000 0.1656  8 Hf 2.81
Ru 0.5000 0.5000 0.8344  8 Hf 2.81


Entry 3:
# Hf2OsRu

Crystalline Hf2OsRu at its relaxed geometry (PBE-GGA, the Alexandria database).

Computed properties:
SG: Immm (71)
energy: -9.551 eV/atom
ΔH_f (0 K): 2.2 eV per formula unit
M_tot: 0.0 μB per cell

Cell lengths 5.8386, 5.8386, 5.8386 Å; angles 151.38, 129.15, 59.39 degrees
Closest atoms and distances in Å follow each position.
Element x y z (fractional)
Hf 0.2469 0.2469 0.0000  1 Ru 2.50, 1 Os 2.57
Hf 0.7531 0.7531 0.0000  1 Ru 2.50, 1 Os 2.57
Os 0.5000 0.5000 0.0000  2 Hf 2.57
Ru 0.0000 0.0000 0.0000  2 Hf 2.50


Entry 4:
# HfOsRu

Crystalline HfOsRu at its relaxed geometry (PBE-GGA, the Alexandria database).

Computed properties:
SG: I4/mmm (139)
energy: -10.215 eV/atom
ΔH_f (0 K): -0.2 eV per formula unit
M_tot: 0.0 μB per cell

Cell lengths 7.0556, 7.0556, 7.0556 Å; angles 147.20, 147.20, 47.07 degrees
Closest atoms and distances in Å follow each position.
Element x y z (fractional)
Hf 0.1496 0.1496 0.0000  5 Ru 2.66-2.82, 4 Os 2.78
Hf 0.8504 0.8504 0.0000  5 Ru 2.66-2.82, 4 Os 2.78
Os 0.0000 0.5000 0.5000  4 Ru 2.73, 4 Hf 2.78, 4 Os 2.82
Os 0.5000 0.0000 0.5000  4 Ru 2.73, 4 Hf 2.78, 4 Os 2.82
Ru 0.3552 0.3552 0.0000  5 Hf 2.66-2.82, 4 Os 2.73
Ru 0.6448 0.6448 0.0000  5 Hf 2.66-2.82, 4 Os 2.73


Entry 5:
# HfScOsRu

Crystalline HfScOsRu at its relaxed geometry (PBE-GGA, the Alexandria database).

Computed properties:
SG: P4mm (99)
energy: -9.844 eV/atom
ΔH_f (0 K): -2.6 eV per formula unit
M_tot: 0.0 μB per cell

Cell lengths 3.2321, 3.2321, 6.4592 Å; angles 90.00, 90.00, 90.00 degrees
Closest atoms and distances in Å follow each position.
Element x y z (fractional)
Hf 0.0000 0.0000 0.0000  4 Os 2.78, 4 Ru 2.78
Sc 0.0000 0.0000 0.4997  4 Ru 2.81, 4 Os 2.81
Os 0.5000 0.5000 0.2455  4 Hf 2.78, 4 Sc 2.81
Ru 0.5000 0.5000 0.7538  4 Hf 2.78, 4 Sc 2.81


Entry 6:
# HfOs2RuSe

Crystalline HfOs2RuSe at its relaxed geometry (PBE-GGA, the Alexandria database).

Computed properties:
formation energy from raw total energies: 130.9 kJ per mole of atoms
SG: P4/mmm (123)
energy: -7.678 eV/atom
M_tot: 0.0 μB per cell

Cell lengths 4.4597, 4.4597, 4.8134 Å; angles 90.00, 90.00, 90.00 degrees
Closest atoms and distances in Å follow each position.
Element x y z (fractional)
Hf 0.0000 0.0000 0.0000  2 Se 2.41
Os 0.0000 0.5000 0.5000  2 Se 2.23
Os 0.5000 0.0000 0.5000  2 Se 2.23
Ru 0.5000 0.5000 0.0000  4 Hf 3.15, 8 Os 3.28
Se 0.0000 0.0000 0.5000  4 Os 2.23, 2 Hf 2.41


Entry 7:
# HfSiOsRu

Crystalline HfSiOsRu at its relaxed geometry (PBE-GGA, the Alexandria database).

Computed properties:
formation energy from raw total energies: -61.1 kJ per mole of atoms
SG: F-43m (216)
energy: -9.604 eV/atom
M_tot: 0.0 μB per cell

Cell lengths 4.3872, 4.3872, 4.3872 Å; angles 60.00, 60.00, 60.00 degrees
Closest atoms and distances in Å follow each position.
Element x y z (fractional)
Hf 0.0000 0.0000 0.0000  4 Os 2.69, 4 Ru 2.69
Si 0.5000 0.5000 0.5000  4 Os 2.69, 4 Ru 2.69
Os 0.7500 0.7500 0.7500  4 Hf 2.69, 4 Si 2.69
Ru 0.2500 0.2500 0.2500  4 Si 2.69, 4 Hf 2.69


Entry 8:
# TbHfOsRu

Crystalline TbHfOsRu at its relaxed geometry (PBE-GGA, the Alexandria database).

Computed properties:
SG: F-43m (216)
energy: -9.199 eV/atom
ΔH_f (0 K): -1.7 eV per formula unit
M_tot: 0.0 μB per cell

Cell lengths 4.7036, 4.7036, 4.7036 Å; angles 60.00, 60.00, 60.00 degrees
Closest atoms and distances in Å follow each position.
Element x y z (fractional)
Tb 0.0000 0.0000 0.0000  4 Ru 2.88, 4 Os 2.88
Hf 0.5000 0.5000 0.5000  4 Os 2.88, 4 Ru 2.88
Os 0.2500 0.2500 0.2500  4 Hf 2.88, 4 Tb 2.88
Ru 0.7500 0.7500 0.7500  4 Tb 2.88, 4 Hf 2.88


Entry 9:
# HfTc2OsRu

Crystalline HfTc2OsRu at its relaxed geometry (PBE-GGA, the Alexandria database).

Computed properties:
SG: P4/mmm (123)
energy: -7.976 eV/atom
ΔH_f (0 K): 11.3 eV per formula unit
M_tot: 0.0 μB per cell

Cell lengths 4.6171, 4.6171, 4.5887 Å; angles 90.00, 90.00, 90.00 degrees
Closest atoms and distances in Å follow each position.
Element x y z (fractional)
Hf 0.0000 0.0000 0.0000  2 Ru 2.29, 4 Tc 2.31
Tc 0.0000 0.5000 0.0000  2 Hf 2.31
Tc 0.5000 0.0000 0.0000  2 Hf 2.31
Os 0.5000 0.5000 0.5000  8 Tc 3.25, 4 Ru 3.26
Ru 0.0000 0.0000 0.5000  2 Hf 2.29


Entry 10:
# HfTiOsRu2

Crystalline HfTiOsRu2 at its relaxed geometry (PBE-GGA, the Alexandria database).

Computed properties:
SG: P4/mmm (123)
energy: -7.663 eV/atom
ΔH_f (0 K): 9.3 eV per formula unit
M_tot: 1.6 μB per cell
offset from the most stable computed form: 0.927 eV/atom

Cell lengths 4.5963, 4.5963, 4.6926 Å; angles 90.00, 90.00, 90.00 degrees
Closest atoms and distances in Å follow each position.
Element x y z (fractional)
Hf 0.0000 0.0000 0.0000  4 Ru 2.30, 2 Ti 2.35
Ti 0.0000 0.0000 0.5000  2 Hf 2.35
Os 0.5000 0.5000 0.5000  4 Ti 3.25, 8 Ru 3.28
Ru 0.0000 0.5000 0.0000  2 Hf 2.30
Ru 0.5000 0.0000 0.0000  2 Hf 2.30


Entry 11:
# Hf2TiOsRu

Crystalline Hf2TiOsRu at its relaxed geometry (PBE-GGA, the Alexandria database).

Computed properties:
SG: P4/mmm (123)
energy: -8.926 eV/atom
ΔH_f (0 K): 3.7 eV per formula unit
M_tot: 0.0 μB per cell

Cell lengths 4.8991, 4.8991, 4.4328 Å; angles 90.00, 90.00, 90.00 degrees
Closest atoms and distances in Å follow each position.
Element x y z (fractional)
Hf 0.0000 0.5000 0.0000  2 Ru 2.45
Hf 0.5000 0.0000 0.0000  2 Ru 2.45
Ti 0.0000 0.0000 0.5000  2 Ru 2.22
Os 0.5000 0.5000 0.5000  8 Hf 3.30, 4 Ti 3.46
Ru 0.0000 0.0000 0.0000  2 Ti 2.22, 4 Hf 2.45


Entry 12:
# HfTiOsRu2

Crystalline HfTiOsRu2 at its relaxed geometry (PBE-GGA, the Alexandria database).

Computed properties:
SG: P4/mmm (123)
energy: -8.591 eV/atom
ΔH_f (0 K): 4.7 eV per formula unit
M_tot: 0.0 μB per cell
offset from the most stable computed form: 0.000 eV/atom

Cell lengths 4.7019, 4.7019, 4.5612 Å; angles 90.00, 90.00, 90.00 degrees
Closest atoms and distances in Å follow each position.
Element x y z (fractional)
Hf 0.0000 0.0000 0.0000  8 Ru 3.28, 4 Ti 3.32
Ti 0.5000 0.5000 0.0000  2 Os 2.28
Os 0.5000 0.5000 0.5000  2 Ti 2.28, 4 Ru 2.35
Ru 0.0000 0.5000 0.5000  2 Os 2.35
Ru 0.5000 0.0000 0.5000  2 Os 2.35